No. 1
Below is crystalline Pm6Pr2Y3Mg at its relaxed geometry, with properties calculated at the PBE-GGA level.

a = 6.259 Å, b = 6.259 Å, c = 11.934 Å
α = 95.03°, β = 95.03°, γ = 120.03°
Fractional coordinates of all 12 atoms:
Pm: 0.083 0.414 0.752
Pm: 0.248 0.248 0.247
Pm: 0.414 0.083 0.752
Pm: 0.586 0.917 0.248
Pm: 0.752 0.752 0.753
Pm: 0.917 0.586 0.248
Pr: 0.333 0.667 0.500
Pr: 0.667 0.333 0.500
Y: 0.166 0.834 0.000
Y: 0.500 0.500 0.000
Y: 0.834 0.166 0.000
Mg: 0.000 0.000 0.500

## Properties
Its space group is C2/m. The formation energy from the elements is 0.011 eV/atom. Its magnetization is 0.0 μB per formula unit.

No. 2
Below is crystalline SmCd4Hg2 at its relaxed geometry, with properties calculated at the PBE-GGA level.

a = 9.258 Å, b = 9.258 Å, c = 4.051 Å
α = 90.00°, β = 90.00°, γ = 150.78°
Fractional coordinates of all 7 atoms:
Sm: 0.000 0.000 0.000
Cd: 0.174 0.826 0.500
Cd: 0.304 0.696 0.000
Cd: 0.696 0.304 0.000
Cd: 0.826 0.174 0.500
Hg: 0.422 0.578 0.500
Hg: 0.578 0.422 0.500

## Properties
Its space group is Cmmm. As for the offset from the most stable computed form: 0.00 eV/f.u. The formation energy from the elements is -0.156 eV/atom. Its magnetization is 0.0 μB per formula unit.

No. 3
Below is crystalline Tb5NdSm7 at its relaxed geometry, with properties calculated at the PBE-GGA level.

a = 8.816 Å, b = 8.816 Å, c = 8.816 Å
α = 135.16°, β = 100.20°, γ = 96.54°
Fractional coordinates of all 13 atoms:
Tb: 0.000 0.000 0.000
Tb: 0.232 0.267 0.496
Tb: 0.232 0.736 0.965
Tb: 0.771 0.267 0.035
Tb: 0.771 0.736 0.504
Nd: 0.197 0.697 0.500
Sm: 0.081 0.251 0.830
Sm: 0.422 0.251 0.170
Sm: 0.502 0.502 0.000
Sm: 0.503 0.003 0.500
Sm: 0.581 0.752 0.829
Sm: 0.808 0.308 0.500
Sm: 0.923 0.752 0.171

## Properties
Its space group is Imm2. The formation energy from the elements is 0.232 eV/atom. Its magnetization is 0.0 μB per formula unit.

No. 4
Below is crystalline Ce2Th3In2 at its relaxed geometry, with properties calculated at the PBE-GGA level.

a = 5.973 Å, b = 5.973 Å, c = 7.948 Å
α = 94.70°, β = 94.70°, γ = 46.69°
Fractional coordinates of all 7 atoms:
Ce: 0.123 0.123 0.437
Ce: 0.877 0.877 0.563
Th: 0.000 0.000 0.000
Th: 0.286 0.286 0.851
Th: 0.714 0.714 0.149
In: 0.420 0.420 0.280
In: 0.580 0.580 0.720

## Properties
Its space group is C2/m. As for the offset from the most stable computed form: 0.00 eV/f.u. The formation energy from the elements is -0.156 eV/atom. Its magnetization is 1.8 μB per formula unit.

No. 5
Below is crystalline Si3CS at its relaxed geometry, with properties calculated at the PBE-GGA level.

a = 4.138 Å, b = 4.138 Å, c = 4.138 Å
α = 90.00°, β = 90.00°, γ = 90.00°
Fractional coordinates of all 5 atoms:
Si: 0.000 0.000 0.500
Si: 0.000 0.500 0.000
Si: 0.500 0.000 0.000
C: 0.000 0.000 0.000
S: 0.500 0.500 0.500

## Properties
Its space group is Pm-3m. As for the offset from the most stable computed form: 0.00 eV/f.u. Its magnetization is 0.0 μB per formula unit.

No. 6
Below is crystalline Nd2PtCl at its relaxed geometry, with properties calculated at the PBE-GGA level.

a = 7.819 Å, b = 7.819 Å, c = 7.819 Å
α = 31.13°, β = 31.13°, γ = 31.13°
Fractional coordinates of all 4 atoms:
Nd: 0.237 0.237 0.237
Nd: 0.763 0.763 0.763
Pt: 0.500 0.500 0.500
Cl: 0.000 0.000 0.000

## Properties
Its space group is R-3m. As for the offset from the most stable computed form: 0.00 eV/f.u. Its magnetization is 0.0 μB per formula unit.

No. 7
Below is crystalline CaHfScCl2 at its relaxed geometry, with properties calculated at the PBE-GGA level.

a = 4.982 Å, b = 4.982 Å, c = 7.269 Å
α = 90.00°, β = 90.00°, γ = 90.00°
Fractional coordinates of all 5 atoms:
Ca: 0.000 0.000 0.000
Hf: 0.000 0.000 0.500
Sc: 0.500 0.500 0.500
Cl: 0.000 0.500 0.000
Cl: 0.500 0.000 0.000

## Properties
Its space group is P4/mmm. The raw total energy is -21.970 eV for the cell shown. Its magnetization is 3.0 μB per formula unit.

No. 8
Below is crystalline Mn2CoSbIr at its relaxed geometry, with properties calculated at the PBE-GGA level.

a = 4.804 Å, b = 4.804 Å, c = 4.594 Å
α = 90.00°, β = 90.00°, γ = 90.00°
Fractional coordinates of all 5 atoms:
Mn: 0.000 0.500 0.000
Mn: 0.500 0.000 0.000
Co: 0.000 0.000 0.500
Sb: 0.500 0.500 0.500
Ir: 0.000 0.000 0.000

## Properties
Its space group is P4/mmm. The raw total energy is -34.016 eV for the cell shown. Its magnetization is 10.4 μB per formula unit.

No. 9
Below is crystalline YBe2SnI at its relaxed geometry, with properties calculated at the PBE-GGA level.

a = 4.778 Å, b = 4.778 Å, c = 5.887 Å
α = 90.00°, β = 90.00°, γ = 90.00°
Fractional coordinates of all 5 atoms:
Y: 0.000 0.000 0.000
Be: 0.000 0.500 0.500
Be: 0.500 0.000 0.500
Sn: 0.500 0.500 0.000
I: 0.500 0.500 0.500

## Properties
Its space group is P4/mmm. The raw total energy is -14.268 eV for the cell shown. Its magnetization is 0.0 μB per formula unit.

No. 10
Below is crystalline Sm2Te2Cl at its relaxed geometry, with properties calculated at the PBE-GGA level.

a = 7.559 Å, b = 7.559 Å, c = 8.588 Å
α = 111.98°, β = 111.98°, γ = 48.51°
Fractional coordinates of all 10 atoms:
Sm: 0.008 0.008 0.249
Sm: 0.335 0.335 0.916
Sm: 0.665 0.665 0.084
Sm: 0.992 0.992 0.751
Te: 0.185 0.185 0.115
Te: 0.481 0.481 0.720
Te: 0.519 0.519 0.280
Te: 0.815 0.815 0.885
Cl: 0.144 0.144 0.606
Cl: 0.856 0.856 0.394

## Properties
Its space group is C2/m. As for the offset from the most stable computed form: 0.02 eV/f.u. Its magnetization is 0.0 μB per formula unit.

No. 11
Below is crystalline LiTm2PaSb4 at its relaxed geometry, with properties calculated at the PBE-GGA level.

a = 7.357 Å, b = 4.371 Å, c = 7.544 Å
α = 90.00°, β = 108.85°, γ = 90.00°
Fractional coordinates of all 8 atoms:
Li: 0.000 0.000 0.000
Tm: 0.000 0.500 0.500
Tm: 0.500 0.000 0.500
Pa: 0.500 0.500 0.000
Sb: 0.246 0.000 0.754
Sb: 0.252 0.500 0.247
Sb: 0.748 0.500 0.753
Sb: 0.754 0.000 0.246

## Properties
Its space group is P2/m. The raw total energy is -42.466 eV for the cell shown. Its magnetization is 0.0 μB per formula unit.

No. 12
Below is crystalline KBi2Pd4 at its relaxed geometry, with properties calculated at the PBE-GGA level.

a = 8.499 Å, b = 8.499 Å, c = 4.284 Å
α = 90.00°, β = 90.00°, γ = 90.00°
Fractional coordinates of all 14 atoms:
K: 0.000 0.000 0.000
K: 0.500 0.500 0.500
Bi: 0.221 0.221 0.500
Bi: 0.279 0.721 0.000
Bi: 0.721 0.279 0.000
Bi: 0.779 0.779 0.500
Pd: 0.084 0.648 0.500
Pd: 0.148 0.416 0.000
Pd: 0.352 0.916 0.500
Pd: 0.416 0.148 0.000
Pd: 0.584 0.852 0.000
Pd: 0.648 0.084 0.500
Pd: 0.852 0.584 0.000
Pd: 0.916 0.352 0.500

## Properties
Its space group is P4_2/mnm. As for the offset from the most stable computed form: 0.38 eV/f.u. The formation energy from the elements is -0.245 eV/atom. Its magnetization is 0.0 μB per formula unit.